No. 1
A plane-wave DFT calculation with PBE was carried out for an optimized crystal structure of CrSiRu2.

## Properties
Magnetization: 1.1 μB per cell
Energy relative to the elements, uncorrected: -43 meV per atom

Lattice parameters (Å, degrees): 2.9121 4.0307 4.4810 90.00 90.00 90.00
Closest atoms and distances in Å follow each position.
Positions (direct):
Cr: 0.0000 0.0000 0.0000  4 Ru 2.49, 4 Si 2.67
Si: 0.5000 0.0000 0.5000  4 Ru 2.49, 4 Cr 2.67
Ru: 0.0000 0.5000 0.5000  4 Si 2.49, 4 Ru 2.67
Ru: 0.5000 0.5000 0.0000  4 Cr 2.49, 4 Ru 2.67

No. 2
A plane-wave DFT calculation with PBE was carried out for an optimized crystal structure of CrSi2Ru2.

## Properties
Magnetization: 0.0 μB per cell
Energy relative to the elements, uncorrected: -275 meV per atom

Lattice parameters (Å, degrees): 6.8714 6.8714 2.7787 90.00 90.00 90.00
Closest atoms and distances in Å follow each position.
Positions (direct):
Cr: 0.0000 0.0000 0.0000  4 Si 2.64, 2 Cr 2.78, 8 Ru 2.94
Cr: 0.5000 0.5000 0.0000  4 Si 2.64, 2 Cr 2.78, 8 Ru 2.94
Si: 0.1433 0.3567 0.0000  6 Ru 2.40-2.48, 2 Cr 2.64
Si: 0.3567 0.8567 0.0000  6 Ru 2.40-2.48, 2 Cr 2.64
Si: 0.6433 0.1433 0.0000  6 Ru 2.40-2.48, 2 Cr 2.64
Si: 0.8567 0.6433 0.0000  6 Ru 2.40-2.48, 2 Cr 2.64
Ru: 0.1557 0.6557 0.5000  6 Si 2.40-2.48
Ru: 0.3443 0.1557 0.5000  6 Si 2.40-2.48
Ru: 0.6557 0.8443 0.5000  6 Si 2.40-2.48
Ru: 0.8443 0.3443 0.5000  6 Si 2.40-2.48

No. 3
A plane-wave DFT calculation with PBE was carried out for an optimized crystal structure of CrSi2Ru2.

## Properties
Magnetization: 0.0 μB per cell
Energy relative to the elements, uncorrected: -94 meV per atom

Lattice parameters (Å, degrees): 6.9240 6.9240 2.8068 90.00 90.00 90.00
Closest atoms and distances in Å follow each position.
Positions (direct):
Cr: 0.0000 0.0000 0.0000  4 Ru 2.67, 2 Cr 2.81, 8 Si 2.96
Cr: 0.5000 0.5000 0.0000  4 Ru 2.67, 2 Cr 2.81, 8 Si 2.96
Si: 0.1583 0.3417 0.5000  6 Ru 2.42-2.50
Si: 0.3417 0.8417 0.5000  6 Ru 2.42-2.50
Si: 0.6583 0.1583 0.5000  6 Ru 2.42-2.50
Si: 0.8417 0.6583 0.5000  6 Ru 2.42-2.50
Ru: 0.1407 0.6407 0.0000  6 Si 2.42-2.50, 2 Cr 2.67
Ru: 0.3593 0.1407 0.0000  6 Si 2.42-2.50, 2 Cr 2.67
Ru: 0.6407 0.8593 0.0000  6 Si 2.42-2.50, 2 Cr 2.67
Ru: 0.8593 0.3593 0.0000  6 Si 2.42-2.50, 2 Cr 2.67

No. 4
A plane-wave DFT calculation with PBE was carried out for an optimized crystal structure of CrSiRu2.

## Properties
Magnetization: 2.0 μB per cell
Energy relative to the elements, uncorrected: -340 meV per atom

Lattice parameters (Å, degrees): 4.1943 4.1943 2.9572 90.00 90.00 90.00
Closest atoms and distances in Å follow each position.
Positions (direct):
Cr: 0.0000 0.0000 0.0000  8 Ru 2.57
Si: 0.5000 0.5000 0.0000  8 Ru 2.57
Ru: 0.0000 0.5000 0.5000  4 Cr 2.57, 4 Si 2.57
Ru: 0.5000 0.0000 0.5000  4 Cr 2.57, 4 Si 2.57

No. 5
A plane-wave DFT calculation with PBE was carried out for an optimized crystal structure of CrSiRu2.

## Properties
Magnetization: 5.4 μB per cell
Energy relative to the elements, uncorrected: 34 meV per atom

Lattice parameters (Å, degrees): 5.9484 5.9484 5.9484 90.00 90.00 90.00
Closest atoms and distances in Å follow each position.
Positions (direct):
Cr: 0.0000 0.0000 0.0000  4 Si 2.58, 4 Ru 2.58
Cr: 0.0000 0.5000 0.5000  4 Ru 2.58, 4 Si 2.58
Cr: 0.5000 0.0000 0.5000  4 Ru 2.58, 4 Si 2.58
Cr: 0.5000 0.5000 0.0000  4 Ru 2.58, 4 Si 2.58
Si: 0.2500 0.2500 0.2500  4 Cr 2.58, 4 Ru 2.58
Si: 0.2500 0.7500 0.7500  4 Cr 2.58, 4 Ru 2.58
Si: 0.7500 0.2500 0.7500  4 Cr 2.58, 4 Ru 2.58
Si: 0.7500 0.7500 0.2500  4 Cr 2.58, 4 Ru 2.58
Ru: 0.0000 0.0000 0.5000  4 Ru 2.58, 4 Si 2.58
Ru: 0.0000 0.5000 0.0000  4 Ru 2.58, 4 Si 2.58
Ru: 0.2500 0.2500 0.7500  4 Cr 2.58, 4 Ru 2.58
Ru: 0.2500 0.7500 0.2500  4 Cr 2.58, 4 Ru 2.58
Ru: 0.5000 0.0000 0.0000  4 Ru 2.58, 4 Si 2.58
Ru: 0.5000 0.5000 0.5000  4 Ru 2.58, 4 Si 2.58
Ru: 0.7500 0.2500 0.2500  4 Cr 2.58, 4 Ru 2.58
Ru: 0.7500 0.7500 0.7500  4 Cr 2.58, 4 Ru 2.58

No. 6
A plane-wave DFT calculation with PBE was carried out for an optimized crystal structure of CrSiRu2.

## Properties
Magnetization: 0.0 μB per cell
Energy relative to the elements, uncorrected: 707 meV per atom

Lattice parameters (Å, degrees): 5.4882 5.4882 9.8259 90.00 90.00 90.00
Closest atoms and distances in Å follow each position.
Positions (direct):
Cr: 0.0000 0.0000 0.0000  4 Ru 2.27
Cr: 0.0000 0.5000 0.2500  4 Ru 2.27
Cr: 0.5000 0.0000 0.7500  4 Ru 2.27
Cr: 0.5000 0.5000 0.5000  4 Ru 2.27
Si: 0.0000 0.0000 0.5000  4 Ru 2.33
Si: 0.0000 0.5000 0.7500  4 Ru 2.33
Si: 0.5000 0.0000 0.2500  4 Ru 2.33
Si: 0.5000 0.5000 0.0000  4 Ru 2.33
Ru: 0.2412 0.2500 0.1250  2 Cr 2.27, 2 Si 2.33
Ru: 0.2500 0.7412 0.3750  2 Cr 2.27, 2 Si 2.33
Ru: 0.2500 0.7588 0.8750  2 Cr 2.27, 2 Si 2.33
Ru: 0.2588 0.2500 0.6250  2 Cr 2.27, 2 Si 2.33
Ru: 0.7412 0.7500 0.6250  2 Cr 2.27, 2 Si 2.33
Ru: 0.7500 0.2412 0.8750  2 Cr 2.27, 2 Si 2.33
Ru: 0.7500 0.2588 0.3750  2 Cr 2.27, 2 Si 2.33
Ru: 0.7588 0.7500 0.1250  2 Cr 2.27, 2 Si 2.33

No. 7
A plane-wave DFT calculation with PBE was carried out for an optimized crystal structure of CrSiRu2.

## Properties
Magnetization: 0.0 μB per cell
Energy relative to the elements, uncorrected: -47 meV per atom

Lattice parameters (Å, degrees): 2.7045 2.7045 24.7986 90.00 90.00 120.00
Closest atoms and distances in Å follow each position.
Positions (direct):
Cr: 0.0000 0.0000 0.0000  3 Si 2.52, 3 Ru 2.53, 6 Cr 2.70
Cr: 0.3333 0.6667 0.6667  3 Si 2.52, 3 Ru 2.53, 6 Cr 2.70
Cr: 0.6667 0.3333 0.3333  3 Si 2.52, 3 Ru 2.53, 6 Cr 2.70
Si: 0.0000 0.0000 0.2538  3 Ru 2.51, 3 Cr 2.52, 6 Si 2.70
Si: 0.3333 0.6667 0.9204  3 Ru 2.51, 3 Cr 2.52, 6 Si 2.70
Si: 0.6667 0.3333 0.5871  3 Ru 2.51, 3 Cr 2.52, 6 Si 2.70
Ru: 0.0000 0.0000 0.5080  3 Si 2.51, 6 Ru 2.70
Ru: 0.0000 0.0000 0.7470  3 Cr 2.53, 9 Ru 2.70-2.81
Ru: 0.3333 0.6667 0.1746  3 Si 2.51, 6 Ru 2.70
Ru: 0.3333 0.6667 0.4136  3 Cr 2.53, 9 Ru 2.70-2.81
Ru: 0.6667 0.3333 0.0803  3 Cr 2.53, 9 Ru 2.70-2.81
Ru: 0.6667 0.3333 0.8413  3 Si 2.51, 6 Ru 2.70

No. 8
A plane-wave DFT calculation with PBE was carried out for an optimized crystal structure of CrSiRu2.

## Properties
Magnetization: 0.0 μB per cell
Energy relative to the elements, uncorrected: -251 meV per atom

Lattice parameters (Å, degrees): 2.8686 4.1863 8.5391 90.00 90.00 90.00
Closest atoms and distances in Å follow each position.
Positions (direct):
Cr: 0.0000 0.0000 0.0000  2 Si 2.45, 6 Ru 2.56-2.63
Cr: 0.5000 0.5000 0.5000  2 Si 2.45, 6 Ru 2.56-2.63
Si: 0.0000 0.5000 0.2673  6 Ru 2.44-2.54, 2 Cr 2.45
Si: 0.5000 0.0000 0.7673  6 Ru 2.44-2.54, 2 Cr 2.45
Ru: 0.0000 0.0000 0.5357  2 Si 2.44, 4 Cr 2.56
Ru: 0.0000 0.5000 0.7576  4 Si 2.54, 2 Cr 2.63, 4 Ru 2.77-2.82
Ru: 0.5000 0.0000 0.2576  4 Si 2.54, 2 Cr 2.63, 4 Ru 2.77-2.82
Ru: 0.5000 0.5000 0.0357  2 Si 2.44, 4 Cr 2.56